Here is a relaxed TbPuTlBr6 crystal from Alexandria via LeMat-Bulk. Energies are from PBE.

Cell lengths 7.497, 7.497, 14.608 Å; angles 90.00, 90.00, 120.00 degrees
Last column: magnetic moment on the atom in μB.
Fractional positions:
Br: 0.358 0.985 0.636  -0.01
Br: 0.015 0.372 0.636  -0.01
Br: 0.642 0.015 0.364  -0.01
Br: 0.372 0.015 0.136  -0.01
Br: 0.985 0.358 0.136  -0.01
Br: 0.372 0.358 0.364  -0.01
Br: 0.358 0.372 0.864  -0.01
Br: 0.642 0.628 0.136  -0.01
Br: 0.985 0.628 0.364  -0.01
Br: 0.015 0.642 0.864  -0.01
Br: 0.628 0.642 0.636  -0.01
Br: 0.628 0.985 0.864  -0.01
Tb: 0.333 0.667 0.750  0.12
Tb: 0.667 0.333 0.250  0.12
Pu: 0.333 0.667 0.250  5.67
Pu: 0.667 0.333 0.750  5.67
Tl: 0.000 0.000 0.000  0.01
Tl: 0.000 0.000 0.500  0.01

Results
Energy in eV per cell: -89.9
Formation energy without anion corrections in meV per atom: -1508
SG: P-31c (163)

Here is a relaxed ZrMn6Fe6 crystal from Alexandria via LeMat-Bulk. Energies are from PBE.

Cell lengths 4.640, 6.245, 6.245 Å; angles 82.56, 68.20, 68.20 degrees
Last column: magnetic moment on the atom in μB.
Fractional positions:
Zr: 0.000 0.000 0.000  -0.23
Mn: 0.714 0.786 0.786  1.82
Mn: 0.286 0.214 0.214  1.82
Mn: 0.000 0.637 0.363  -1.67
Mn: 0.358 0.642 0.642  -1.88
Mn: 0.000 0.363 0.637  -1.67
Mn: 0.642 0.358 0.358  -1.88
Fe: 0.000 0.500 0.000  1.23
Fe: 0.500 0.771 0.229  1.42
Fe: 0.000 0.000 0.500  1.23
Fe: 0.500 0.229 0.771  1.42
Fe: 0.500 0.500 0.000  1.23
Fe: 0.500 0.000 0.500  1.23

Results
Energy in eV per cell: -114.7
SG: Immm (71)

Here is a relaxed TmLuO crystal from Alexandria via LeMat-Bulk. Energies are from PBE.

Cell lengths 3.431, 3.431, 5.590 Å; angles 90.00, 90.00, 120.00 degrees
Fractional positions:
Lu: 0.333 0.667 0.573
Tm: 0.000 0.000 0.090
O: 0.667 0.333 0.337

Results
Energy in eV per cell: -19.4
Formation energy without anion corrections in meV per atom: -1828
SG: P3m1 (156)

Here is a relaxed CePrTlCd crystal from Alexandria via LeMat-Bulk. Energies are from PBE.

Cell lengths 5.510, 5.510, 5.510 Å; angles 60.00, 60.00, 60.00 degrees
Last column: magnetic moment on the atom in μB.
Fractional positions:
Tl: 0.250 0.250 0.250  -0.01
Pr: 0.000 0.000 0.000  0.21
Ce: 0.500 0.500 0.500  1.03
Cd: 0.750 0.750 0.750  0.03

Results
Energy in eV per cell: -15.0
SG: F-43m (216)

Here is a relaxed SmDy12Th3 crystal from Alexandria via LeMat-Bulk. Energies are from PBE.

Cell lengths 5.027, 5.027, 20.062 Å; angles 90.00, 90.00, 90.00 degrees
Fractional positions:
Sm: 0.000 0.000 0.000
Dy: 0.500 0.500 0.500
Dy: 0.000 0.500 0.376
Dy: 0.500 0.500 0.749
Dy: 0.000 0.500 0.624
Dy: 0.500 0.000 0.376
Dy: 0.500 0.000 0.624
Dy: 0.500 0.500 0.251
Dy: 0.500 0.000 0.127
Dy: 0.500 0.000 0.873
Dy: 0.000 0.500 0.873
Dy: 0.500 0.500 0.000
Dy: 0.000 0.500 0.127
Th: 0.000 0.000 0.500
Th: 0.000 0.000 0.749
Th: 0.000 0.000 0.251

Results
Energy in eV per cell: -81.7
SG: P4/mmm (123)

Here is a relaxed CeI4 crystal from Alexandria via LeMat-Bulk. Energies are from PBE.

Cell lengths 7.094, 7.094, 7.711 Å; angles 90.00, 90.00, 90.00 degrees
Last column: magnetic moment on the atom in μB.
Fractional positions:
I: 0.811 0.747 0.353  -0.04
I: 0.253 0.811 0.647  -0.04
I: 0.747 0.189 0.647  -0.04
I: 0.753 0.689 0.853  -0.04
I: 0.689 0.247 0.147  -0.04
I: 0.189 0.253 0.353  -0.04
I: 0.247 0.311 0.853  -0.04
I: 0.311 0.753 0.147  -0.04
Ce: 0.500 0.500 0.500  0.34
Ce: 0.000 0.000 0.000  0.34

Results
Energy in eV per cell: -33.9
Formation energy without anion corrections in meV per atom: -963
SG: P-42_1c (114)

> energy of number 1 (TbPuTlBr6)?

-89.9 eV per cell

> Which of these has the highest energy?

CePrTlCd

> Look up the energy of the second one.

-114.7 eV per cell

> What is the energy in the fifth record?

-81.7 eV per cell